# 1
Entry from the Open Quantum Materials Database: RbTcSb after structural relaxation (GGA-PBE).

Computed properties:
**Density**: 4.59 g cm⁻³
**ΔE to the lowest computed polymorph**: 839 meV per atom
**Total energy**: -3.29 eV per atom
**SG**: No. 216

Cell: 5.385 5.385 5.385 Å, 60.00 60.00 60.00°
Fractional positions:
Sb: 0.250 0.250 0.250
Tc: 0.750 0.750 0.750
Rb: 0.000 0.000 0.000

---

# 2
Entry from the Open Quantum Materials Database: Li4ZnCdIr2 after structural relaxation (GGA-PBE).

Computed properties:
**Density**: 8.50 g cm⁻³
**Total energy**: -3.58 eV per atom
**SG**: No. 115

Cell: 4.300 4.300 6.234 Å, 90.00 90.00 90.00°
Fractional positions:
Zn: 0.500 0.500 0.000
Li: 0.500 0.000 0.231
Li: 0.000 0.000 0.000
Li: 0.500 0.500 0.500
Li: 0.000 0.500 0.769
Ir: 0.000 0.500 0.226
Ir: 0.500 0.000 0.774
Cd: 0.000 0.000 0.500

---

# 3
Entry from the Open Quantum Materials Database: Ho3AlGa2Ge2Ir after structural relaxation (GGA-PBE).

Computed properties:
**Density**: 9.39 g cm⁻³
**Total energy**: -5.47 eV per atom
**SG**: No. 38

Cell: 4.211 6.976 6.976 Å, 120.49 90.00 90.00°
Fractional positions:
Ge: 0.000 0.338 0.667
Ge: 0.000 0.667 0.338
Ga: 0.000 0.997 0.232
Ga: 0.000 0.232 0.997
Ho: 0.500 0.003 0.589
Ho: 0.500 0.589 0.003
Ho: 0.500 0.410 0.410
Al: 0.000 0.771 0.771
Ir: 0.500 0.992 0.992

---

# 4
Entry from the Open Quantum Materials Database: Be2CuNi after structural relaxation (GGA-PBE).

Computed properties:
**Density**: 6.02 g cm⁻³
**Total energy**: -4.29 eV per atom
**SG**: No. 216

Cell: 3.797 3.797 3.797 Å, 60.00 60.00 60.00°
Fractional positions:
Be: 0.750 0.750 0.750
Be: 0.000 0.000 0.000
Ni: 0.500 0.500 0.500
Cu: 0.250 0.250 0.250

---

# 5
Entry from the Open Quantum Materials Database: Li2Hf2Ge2IrPt after structural relaxation (GGA-PBE).

Computed properties:
**Density**: 11.88 g cm⁻³
**Total energy**: -6.61 eV per atom
**SG**: No. 115

Cell: 4.479 4.479 6.292 Å, 90.00 90.00 90.00°
Fractional positions:
Li: 0.000 0.000 0.500
Li: 0.500 0.500 0.000
Pt: 0.500 0.500 0.500
Ir: 0.000 0.000 0.000
Hf: 0.000 0.500 0.247
Hf: 0.500 0.000 0.753
Ge: 0.500 0.000 0.249
Ge: 0.000 0.500 0.751

---

# 6
Entry from the Open Quantum Materials Database: Tm3IrO after structural relaxation (GGA-PBE).

Computed properties:
**Density**: 12.59 g cm⁻³
**Total energy**: -6.89 eV per atom
**SG**: No. 221

Cell: 4.552 4.552 4.552 Å, 90.00 90.00 90.00°
Fractional positions:
Ir: 0.000 0.000 0.000
O: 0.500 0.500 0.500
Tm: 0.000 0.500 0.500
Tm: 0.500 0.000 0.500
Tm: 0.500 0.500 0.000